(1)
Below is ZnMo2W at its PBEsol-relaxed geometry, with properties calculated at the SCAN level.

* crystal system: tetragonal
* V: 14.91 Å³ per atom
* ΔH_f (0 K): 223 meV per atom
* uncorrected energy: -38.02 eV per atom

abc: 3.256 3.256 5.625
angles: 90.00 90.00 90.00
Atoms (fractional coordinates):
Zn1 0.000 0.000 0.000
Mo1 0.000 0.000 0.499
Mo2 0.500 0.500 0.242
W1 0.500 0.500 0.756

---

(2)
Below is ZrMoW at its PBEsol-relaxed geometry, with properties calculated at the SCAN level.

* crystal system: tetragonal
* V: 17.18 Å³ per atom
* energy relative to the lowest polymorph listed for this composition: 132.8 meV per atom
* ΔH_f (0 K): -21 meV per atom
* uncorrected energy: -45.11 eV per atom

abc: 3.202 3.202 10.057
angles: 90.00 90.00 90.00
Atoms (fractional coordinates):
Zr1 0.000 0.000 0.000
Zr2 0.500 0.500 0.500
Mo1 0.000 0.000 0.677
Mo2 0.500 0.500 0.177
W1 0.000 0.000 0.318
W2 0.500 0.500 0.818

---

Listing total moment for the structures above in their given order: 0.00 0.00 μB/f.u..